1.
Gd2SeF | PBE | optimized geometry

Summary:
* space group: No. 166
* formation energy (no corrections): -2014 meV/atom

Cell: 3.9463 3.9463 24.0290 Å, 90.00 90.00 120.00°
With the nearest neighbours (Å) after each atom.
Element x y z (fractional)
Gd1 0.0000 0.0000 0.0923  1 F 2.22
Gd2 0.0000 0.0000 0.9077  1 F 2.22
Gd3 0.3333 0.6667 0.5744  1 F 2.22
Gd4 0.3333 0.6667 0.7589  1 F 2.22
Gd5 0.6667 0.3333 0.2411  1 F 2.22
Gd6 0.6667 0.3333 0.4256  1 F 2.22
Se1 0.0000 0.0000 0.5000  6 Gd 2.90
Se2 0.3333 0.6667 0.1667  6 Gd 2.90
Se3 0.6667 0.3333 0.8333  6 Gd 2.90
F1 0.0000 0.0000 0.0000  2 Gd 2.22
F2 0.3333 0.6667 0.6667  2 Gd 2.22
F3 0.6667 0.3333 0.3333  2 Gd 2.22


2.
AgI3O | PBE | optimized geometry

Summary:
* space group: No. 221
* formation energy (no corrections): 439 meV/atom

Cell: 5.1470 5.1470 5.1470 Å, 90.00 90.00 90.00°
With the nearest neighbours (Å) after each atom.
Element x y z (fractional)
Ag1 0.0000 0.0000 0.0000  12 I 3.64
I1 0.0000 0.5000 0.5000  2 O 2.57
I2 0.5000 0.0000 0.5000  2 O 2.57
I3 0.5000 0.5000 0.0000  2 O 2.57
O1 0.5000 0.5000 0.5000  6 I 2.57


3.
Pm5OsAu2 | PBE | optimized geometry

Summary:
* space group: No. 55
* ΔH_f (0 K): -0.479 eV/atom

Cell: 7.9161 11.9926 4.6403 Å, 90.00 90.00 90.00°
With the nearest neighbours (Å) after each atom.
Element x y z (fractional)
Pm1 0.0000 0.0000 0.0000  4 Au 3.11
Pm2 0.1546 0.2963 0.0000  1 Os 2.73
Pm3 0.1807 0.5797 0.5000  2 Os 2.89, 2 Au 3.17-3.22
Pm4 0.3193 0.0797 0.5000  2 Os 2.89, 2 Au 3.17-3.22
Pm5 0.3454 0.7963 0.0000  1 Os 2.73
Pm6 0.5000 0.5000 0.0000  4 Au 3.11
Pm7 0.6546 0.2037 0.0000  1 Os 2.73
Pm8 0.6807 0.9203 0.5000  2 Os 2.89, 2 Au 3.17-3.22
Pm9 0.8193 0.4203 0.5000  2 Os 2.89, 2 Au 3.17-3.22
Pm10 0.8454 0.7037 0.0000  1 Os 2.73
Os1 0.0000 0.5000 0.0000  6 Pm 2.73-2.89
Os2 0.5000 0.0000 0.0000  6 Pm 2.73-2.89
Au1 0.0644 0.8322 0.5000  8 Pm 3.11-3.28
Au2 0.4356 0.3322 0.5000  8 Pm 3.11-3.28
Au3 0.5644 0.6678 0.5000  8 Pm 3.11-3.28
Au4 0.9356 0.1678 0.5000  8 Pm 3.11-3.28


4.
La2MnHg | PBE | optimized geometry

Summary:
* space group: No. 12
* ΔH_f (0 K): 0.081 eV/atom

Cell: 7.3639 3.6701 8.7624 Å, 90.00 100.13 90.00°
With the nearest neighbours (Å) after each atom.
Element x y z (fractional)
La1 0.2492 0.0000 0.2813  3 Mn 2.88-3.03
La2 0.2508 0.5000 0.7187  3 Mn 2.88-3.03
La3 0.7492 0.5000 0.2813  3 Mn 2.88-3.03
La4 0.7508 0.0000 0.7187  3 Mn 2.88-3.03
Mn1 0.0000 0.0000 0.5000  6 La 2.88-3.03
Mn2 0.5000 0.5000 0.5000  6 La 2.88-3.03
Hg1 0.0000 0.5000 0.0000  6 La 3.33-3.35, 2 Hg 3.67
Hg2 0.5000 0.0000 0.0000  6 La 3.33-3.35, 2 Hg 3.67


5.
LaReSb2 | PBE | optimized geometry

Summary:
* space group: No. 8
* formation energy (no corrections): -86 meV/atom

Cell: 9.4525 3.5228 6.8839 Å, 90.00 111.91 90.00°
With the nearest neighbours (Å) after each atom.
Element x y z (fractional)
La1 0.0000 0.0000 0.0000  2 Re 3.16, 3 Sb 3.19-3.31, 2 La 3.52
La2 0.5000 0.5000 0.0000  2 Re 3.16, 3 Sb 3.19-3.31, 2 La 3.52
Re1 0.1827 0.5000 0.3947  5 Sb 2.68-2.77
Re2 0.6827 0.0000 0.3947  5 Sb 2.68-2.77
Sb1 0.1985 0.0000 0.7128  2 Re 2.77
Sb2 0.3872 0.0000 0.3657  3 Re 2.68-2.73
Sb3 0.6985 0.5000 0.7128  2 Re 2.77
Sb4 0.8872 0.5000 0.3657  3 Re 2.68-2.73


6.
K2CdPt | PBE | optimized geometry

Summary:
* space group: No. 166
* ΔH_f (0 K): 0.268 eV/atom

Cell: 3.3482 3.3482 34.1240 Å, 90.00 90.00 120.00°
With the nearest neighbours (Å) after each atom.
Element x y z (fractional)
K1 0.0000 0.0000 0.2404  3 Pt 3.17, 6 K 3.35
K2 0.0000 0.0000 0.7596  3 Pt 3.17, 6 K 3.35
K3 0.3333 0.6667 0.4263  3 Pt 3.17, 6 K 3.35
K4 0.3333 0.6667 0.9071  3 Pt 3.17, 6 K 3.35
K5 0.6667 0.3333 0.0929  3 Pt 3.17, 6 K 3.35
K6 0.6667 0.3333 0.5737  3 Pt 3.17, 6 K 3.35
Cd1 0.0000 0.0000 0.0000  6 Cd 3.35, 6 K 3.71
Cd2 0.3333 0.6667 0.6667  6 Cd 3.35, 6 K 3.71
Cd3 0.6667 0.3333 0.3333  6 Cd 3.35, 6 K 3.71
Pt1 0.0000 0.0000 0.5000  6 K 3.17, 6 Pt 3.35
Pt2 0.3333 0.6667 0.1667  6 K 3.17, 6 Pt 3.35
Pt3 0.6667 0.3333 0.8333  6 K 3.17, 6 Pt 3.35


Number 1: volume 27.0 A^3/atom. Number 2: volume 27.3 A^3/atom. Number 3: volume 27.5 A^3/atom. Number 4: volume 29.1 A^3/atom. Number 5: volume 26.6 A^3/atom. Number 6: volume 27.6 A^3/atom.